The following is a DFT calculation (PBE+U) of a relaxed structure of BiWSF2.

Geometry as extended XYZ:
```
5
Lattice="4.281 0.000 0.000 0.000 5.224 0.000 0.000 0.000 4.281" Properties=species:S:1:pos:R:3 pbc="T T T"
S 0.000 2.612 0.000
Bi 2.141 2.612 2.141
W 0.000 0.000 0.000
F 0.000 0.000 2.141
F 2.141 0.000 0.000
```

## Properties
symmetry = P4/mmm, No. 123
E = -4.927 eV/atom
DOS(E_F) = 2.09 states/eV per cell